This record from Alexandria via LeMat-Bulk describes a relaxed structure of LiDy2Ga3Pt4. The functional is PBE.

The structure in CIF format:
```
data_LiDy2Ga3Pt4
_space_group_name_H-M_alt 'P 1'
_space_group_IT_number 1
_cell_length_a 4.006
_cell_length_b 4.006
_cell_length_c 11.515
_cell_angle_alpha 90.00
_cell_angle_beta 90.00
_cell_angle_gamma 90.00
loop_
_space_group_symop_operation_xyz
'x,y,z'
loop_
_atom_site_label
_atom_site_fract_x
_atom_site_fract_y
_atom_site_fract_z
Li1 0.500 0.500 0.500
Dy1 0.500 0.000 0.254
Dy2 0.000 0.500 0.746
Ga1 0.000 0.000 0.500
Ga2 0.500 0.000 0.866
Ga3 0.000 0.500 0.134
Pt1 0.500 0.500 0.000
Pt2 0.000 0.000 0.000
Pt3 0.500 0.000 0.650
Pt4 0.000 0.500 0.350
```

## Properties
- calculated total energy (eV/atom) = -5.370
- energy of formation (meV/atom) = -934
- mass density (g/cm³) = 11.876

***

This record from Alexandria via LeMat-Bulk describes a relaxed structure of LiDy2GaPt6. The functional is PBE.

The structure in CIF format:
```
data_LiDy2GaPt6
_space_group_name_H-M_alt 'P 1'
_space_group_IT_number 1
_cell_length_a 5.567
_cell_length_b 8.691
_cell_length_c 8.702
_cell_angle_alpha 37.33
_cell_angle_beta 71.30
_cell_angle_gamma 89.96
loop_
_space_group_symop_operation_xyz
'x,y,z'
loop_
_atom_site_label
_atom_site_fract_x
_atom_site_fract_y
_atom_site_fract_z
Li1 0.000 0.000 0.000
Dy1 0.200 0.799 0.600
Dy2 0.800 0.201 0.400
Ga1 0.500 0.500 0.000
Pt1 0.253 0.747 0.982
Pt2 0.764 0.748 0.982
Pt3 0.253 0.237 0.493
Pt4 0.747 0.253 0.018
Pt5 0.236 0.252 0.018
Pt6 0.747 0.763 0.507
```

## Properties
- calculated total energy (eV/atom) = -5.830
- energy of formation (meV/atom) = -791
- mass density (g/cm³) = 12.036

***

This record from Alexandria via LeMat-Bulk describes a relaxed structure of LiDyGaPt2. The functional is PBE.

The structure in CIF format:
```
data_LiDyGaPt2
_space_group_name_H-M_alt 'P 1'
_space_group_IT_number 1
_cell_length_a 3.771
_cell_length_b 3.771
_cell_length_c 6.893
_cell_angle_alpha 105.87
_cell_angle_beta 105.87
_cell_angle_gamma 90.00
loop_
_space_group_symop_operation_xyz
'x,y,z'
loop_
_atom_site_label
_atom_site_fract_x
_atom_site_fract_y
_atom_site_fract_z
Li1 0.750 0.250 0.500
Dy1 0.000 0.000 0.000
Ga1 0.250 0.750 0.500
Pt1 0.609 0.609 0.217
Pt2 0.391 0.391 0.783
```

## Properties
- calculated total energy (eV/atom) = -5.270
- energy of formation (meV/atom) = -945
- mass density (g/cm³) = 11.563

***

This record from Alexandria via LeMat-Bulk describes a relaxed structure of LiDyGa2Pt2. The functional is PBE.

The structure in CIF format:
```
data_LiDyGa2Pt2
_space_group_name_H-M_alt 'P 1'
_space_group_IT_number 1
_cell_length_a 4.376
_cell_length_b 4.376
_cell_length_c 6.439
_cell_angle_alpha 90.00
_cell_angle_beta 90.00
_cell_angle_gamma 120.00
loop_
_space_group_symop_operation_xyz
'x,y,z'
loop_
_atom_site_label
_atom_site_fract_x
_atom_site_fract_y
_atom_site_fract_z
Li1 0.000 0.000 0.500
Dy1 0.000 0.000 0.000
Ga1 0.667 0.333 0.687
Ga2 0.333 0.667 0.313
Pt1 0.667 0.333 0.274
Pt2 0.333 0.667 0.726
```

## Properties
- calculated total energy (eV/atom) = -5.029
- energy of formation (meV/atom) = -920
- mass density (g/cm³) = 10.873

***

This record from Alexandria via LeMat-Bulk describes a relaxed structure of LiDy2Ga2Rh5. The functional is PBE.

The structure in CIF format:
```
data_LiDy2Ga2Rh5
_space_group_name_H-M_alt 'P 1'
_space_group_IT_number 1
_cell_length_a 3.503
_cell_length_b 9.786
_cell_length_c 9.786
_cell_angle_alpha 90.00
_cell_angle_beta 90.00
_cell_angle_gamma 90.00
loop_
_space_group_symop_operation_xyz
'x,y,z'
loop_
_atom_site_label
_atom_site_fract_x
_atom_site_fract_y
_atom_site_fract_z
Li1 0.000 0.000 0.000
Li2 0.000 0.500 0.500
Dy1 0.000 0.673 0.173
Dy2 0.000 0.327 0.827
Dy3 0.000 0.173 0.327
Dy4 0.000 0.827 0.673
Ga1 0.000 0.127 0.627
Ga2 0.000 0.873 0.373
Ga3 0.000 0.627 0.873
Ga4 0.000 0.373 0.127
Rh1 0.500 0.201 0.067
Rh2 0.500 0.799 0.933
Rh3 0.500 0.067 0.799
Rh4 0.500 0.701 0.433
Rh5 0.500 0.933 0.201
Rh6 0.500 0.299 0.567
Rh7 0.500 0.567 0.701
Rh8 0.500 0.433 0.299
Rh9 0.500 0.500 0.000
Rh10 0.500 0.000 0.500
```

## Properties
- calculated total energy (eV/atom) = -6.049
- energy of formation (meV/atom) = -656
- mass density (g/cm³) = 9.759

***

This record from Alexandria via LeMat-Bulk describes a relaxed structure of LiDyGa4Ru2. The functional is PBE.

The structure in CIF format:
```
data_LiDyGa4Ru2
_space_group_name_H-M_alt 'P 1'
_space_group_IT_number 1
_cell_length_a 4.249
_cell_length_b 4.249
_cell_length_c 8.770
_cell_angle_alpha 75.98
_cell_angle_beta 75.98
_cell_angle_gamma 60.00
loop_
_space_group_symop_operation_xyz
'x,y,z'
loop_
_atom_site_label
_atom_site_fract_x
_atom_site_fract_y
_atom_site_fract_z
Li1 0.500 0.500 0.500
Dy1 0.000 0.000 0.000
Ga1 0.398 0.398 0.805
Ga2 0.869 0.869 0.393
Ga3 0.131 0.131 0.607
Ga4 0.602 0.602 0.195
Ru1 0.766 0.766 0.703
Ru2 0.234 0.234 0.297
```

## Properties
- calculated total energy (eV/atom) = -5.055
- energy of formation (meV/atom) = -408
- mass density (g/cm³) = 8.203

***

Among the records above, which one has the highest calculated total energy?
LiDyGa2Pt2